No. 1
## BaHf3Tc (SCAN)

Data for a crystal of BaHf3Tc relaxed with PBEsol.

a = 5.0867 Å, b = 5.0867 Å, c = 5.0867 Å
α = 90.00°, β = 90.00°, γ = 90.00°
Space group Pm-3m (No. 221)
Unique sites:
Ba (0.0000, 0.0000, 0.0000) (multiplicity 1)
Hf (0.0000, 0.0000, 0.5000) (multiplicity 3)
Tc (0.5000, 0.5000, 0.5000) (multiplicity 1)

Calculated values
Formation energy   2.56 eV per atom
M_tot   1.7 μB/f.u.

No. 2
## BaHf2Zn (SCAN)

Data for a crystal of BaHf2Zn relaxed with PBEsol.

a = 7.0174 Å, b = 7.0174 Å, c = 7.0174 Å
α = 90.00°, β = 90.00°, γ = 90.00°
Space group Fm-3m (No. 225)
Unique sites:
Ba (0.0000, 0.0000, 0.0000) (multiplicity 4)
Hf (0.2500, 0.2500, 0.2500) (multiplicity 8)
Zn (0.0000, 0.0000, 0.5000) (multiplicity 4)

Calculated values
Formation energy   0.77 eV per atom
M_tot   0.0 μB/f.u.

No. 3
## BaHfZr3 (SCAN)

Data for a crystal of BaHfZr3 relaxed with PBEsol.

a = 5.3158 Å, b = 5.3158 Å, c = 5.3158 Å
α = 90.00°, β = 90.00°, γ = 90.00°
Space group Pm-3m (No. 221)
Unique sites:
Ba (0.0000, 0.0000, 0.0000) (multiplicity 1)
Hf (0.5000, 0.5000, 0.5000) (multiplicity 1)
Zr (0.0000, 0.5000, 0.5000) (multiplicity 3)

Calculated values
Formation energy   0.83 eV per atom
M_tot   0.0 μB/f.u.

No. 4
## BaHg2 (SCAN)

Data for a crystal of BaHg2 relaxed with PBEsol.

a = 6.3480 Å, b = 6.3480 Å, c = 10.0677 Å
α = 90.00°, β = 90.00°, γ = 90.00°
Space group I4/mcm (No. 140)
Unique sites:
Ba (0.0000, 0.0000, 0.2500) (multiplicity 4)
Hg (0.1602, 0.3398, 0.0000) (multiplicity 8)

Calculated values
Formation energy   -0.45 eV per atom
M_tot   0.0 μB/f.u.

No. 5
## BaHg6 (SCAN)

Data for a crystal of BaHg6 relaxed with PBEsol.

a = 13.2902 Å, b = 5.1885 Å, c = 10.5184 Å
α = 90.00°, β = 90.00°, γ = 90.00°
Space group Pnma (No. 62)
Unique sites:
Ba (0.1805, 0.2500, 0.1280) (multiplicity 4)
Hg (0.0057, 0.7500, 0.1075) (multiplicity 4)
Hg (0.0441, 0.7500, 0.6332) (multiplicity 4)
Hg (0.0972, 0.7500, 0.3583) (multiplicity 4)
Hg (0.1349, 0.7500, 0.8870) (multiplicity 4)
Hg (0.1569, 0.2500, 0.4910) (multiplicity 4)
Hg (0.1888, 0.2500, 0.7636) (multiplicity 4)

Calculated values
Formation energy   -0.36 eV per atom
M_tot   0.0 μB/f.u.

No. 6
## BaHg2 (SCAN)

Data for a crystal of BaHg2 relaxed with PBEsol.

a = 5.0387 Å, b = 11.0975 Å, c = 6.5718 Å
α = 90.00°, β = 90.00°, γ = 90.00°
Space group Cmc2_1 (No. 36)
Unique sites:
Ba (0.0000, 0.1942, 0.0000) (multiplicity 4)
Hg (0.0000, 0.1049, 0.5001) (multiplicity 4)
Hg (0.0000, 0.4986, 0.7495) (multiplicity 4)

Calculated values
Formation energy   -0.55 eV per atom
M_tot   0.0 μB/f.u.

- Number 5 is which compound?
  BaHg6

- Number 3 is which compound?
  BaHfZr3

- What is the M_tot in the fourth record?
  0.0 μB/f.u.

- Look up the formation energy of the fifth one.
  -0.36 eV per atom